DFT (GGA-PBE) results for an optimized crystal structure of CaMg2IrPt.

Geometry as POSCAR:
```
CaMg2IrPt
1.0
5.1138 0.0000 0.0000
0.0000 5.1138 0.0000
0.0000 0.0000 4.6906
Ca Mg Ir Pt
1 2 1 1
direct
0.0000 0.0000 0.0000
0.0000 0.5000 0.0000
0.5000 0.0000 0.0000
0.5000 0.5000 0.5000
0.0000 0.0000 0.5000
```

Results
**E_form**: 149 kJ/mol of atoms
**Space group**: P4/mmm
**N(E_F)**: 4.16 states/eV/cell